[1]
Here is a geometry-optimized IrPtRh structure from the Alexandria database. Energies are from GGA-PBE.

Summary:
DFT total energy   -7.4503 eV/atom
Volume   88.7 Å³/cell
Calculated formation energy   -33 meV per atom

a b c (Å): 2.746 2.746 11.757
angles (deg): 90.00 90.00 90.00
Space group P4/nmm (No. 129, origin choice 2)
Symmetry-distinct sites (fractional):
Ir1 0.250 0.250 0.081
Pt1 0.250 0.250 0.412
Rh1 0.250 0.250 0.758

[2]
Here is a geometry-optimized La8GaAu2 structure from the Alexandria database. Energies are from GGA-PBE.

Summary:
DFT total energy   -4.8563 eV/atom
Volume   690.9 Å³/cell
Calculated formation energy   -402 meV per atom

a b c (Å): 19.167 5.276 7.280
angles (deg): 90.00 110.20 90.00
Space group C2/m (No. 12)
Symmetry-distinct sites (fractional):
La1 0.018 0.000 0.275
La2 0.088 0.500 0.969
La3 0.170 0.500 0.497
La4 0.197 0.000 0.837
Ga1 0.000 0.500 0.500
Au1 0.171 0.000 0.229

[3]
Here is a geometry-optimized RbHoP structure from the Alexandria database. Energies are from GGA-PBE.

Summary:
DFT total energy   -4.2359 eV/atom
Volume   215.3 Å³/cell
Calculated formation energy   -584 meV per atom

a b c (Å): 3.846 3.846 14.557
angles (deg): 90.00 90.00 90.00
Space group I4mm (No. 107)
Symmetry-distinct sites (fractional):
Rb1 0.000 0.000 0.000
Ho1 0.000 0.000 0.252
P1 0.000 0.000 0.717

[4]
Here is a geometry-optimized NdSm3Dy6Tm2 structure from the Alexandria database. Energies are from GGA-PBE.

Summary:
DFT total energy   -4.6063 eV/atom
Volume   768.1 Å³/cell
Calculated formation energy   17 meV per atom

a b c (Å): 6.175 10.688 11.817
angles (deg): 90.00 99.99 90.00
Space group C2/m (No. 12)
Symmetry-distinct sites (fractional):
Nd1 0.000 0.000 0.000
Sm1 0.000 0.167 0.500
Sm2 0.000 0.500 0.500
Dy1 0.248 0.500 0.248
Dy2 0.250 0.167 0.248
Tm1 0.000 0.333 0.000

[5]
Here is a geometry-optimized La2YTe2 structure from the Alexandria database. Energies are from GGA-PBE.

Summary:
DFT total energy   -5.1172 eV/atom
Volume   372.7 Å³/cell

a b c (Å): 5.992 5.992 10.381
angles (deg): 90.00 90.00 90.00
Space group I4/mmm (No. 139)
Symmetry-distinct sites (fractional):
La1 0.000 0.000 0.159
Y1 0.000 0.000 0.500
Te1 0.000 0.500 0.250

[6]
Here is a geometry-optimized PtAuO2F structure from the Alexandria database. Energies are from GGA-PBE.

Summary:
DFT total energy   -4.2188 eV/atom
Volume   83.2 Å³/cell

a b c (Å): 3.732 3.732 5.977
angles (deg): 90.00 90.00 90.00
Space group P4/mmm (No. 123)
Symmetry-distinct sites (fractional):
Pt1 0.000 0.000 0.000
Au1 0.500 0.500 0.500
O1 0.000 0.500 0.000
F1 0.000 0.000 0.500

[7]
Here is a geometry-optimized LiNbNi14 structure from the Alexandria database. Energies are from GGA-PBE.

Summary:
DFT total energy   -5.8543 eV/atom
Volume   181.6 Å³/cell
Calculated formation energy   -47 meV per atom

a b c (Å): 5.041 5.041 7.145
angles (deg): 90.00 90.00 90.00
Space group P4/mmm (No. 123)
Symmetry-distinct sites (fractional):
Li1 0.000 0.000 0.000
Nb1 0.500 0.500 0.000
Ni1 0.000 0.000 0.500
Ni2 0.000 0.500 0.000
Ni3 0.000 0.500 0.500
Ni4 0.248 0.248 0.257
Ni5 0.500 0.500 0.500

[8]
Here is a geometry-optimized Sr2TlP structure from the Alexandria database. Energies are from GGA-PBE.

Summary:
DFT total energy   -3.2311 eV/atom
Volume   564.1 Å³/cell
Calculated formation energy   -446 meV per atom

a b c (Å): 8.632 8.632 7.571
angles (deg): 90.00 90.00 90.00
Space group I-42d (No. 122)
Symmetry-distinct sites (fractional):
Sr1 0.198 0.250 0.125
Tl1 0.000 0.000 0.500
P1 0.000 0.000 0.000

[9]
Here is a geometry-optimized NaPuSb structure from the Alexandria database. Energies are from GGA-PBE.

Summary:
DFT total energy   -6.6836 eV/atom
Volume   496.9 Å³/cell

a b c (Å): 3.8262 3.8262 39.1954
angles (deg): 90.00 90.00 120.00
Space group R-3m (No. 166, hexagonal axes)
Symmetry-distinct sites (fractional):
Na1 0.0000 0.0000 0.1261
Pu1 0.0000 0.0000 0.3218
Sb1 0.0000 0.0000 0.3999

[10]
Here is a geometry-optimized LiZr2Cl structure from the Alexandria database. Energies are from GGA-PBE.

Summary:
DFT total energy   -5.3255 eV/atom
Volume   84.0 Å³/cell

a b c (Å): 3.091 5.055 5.414
angles (deg): 90.00 97.01 90.00
Space group P2/m (No. 10)
Symmetry-distinct sites (fractional):
Li1 0.000 0.000 0.000
Zr1 0.330 0.500 0.228
Cl1 0.500 0.000 0.500

[11]
Here is a geometry-optimized MnTe2Rh structure from the Alexandria database. Energies are from GGA-PBE.

Summary:
DFT total energy   -5.6245 eV/atom
Volume   77.2 Å³/cell

a b c (Å): 4.740 4.740 3.435
angles (deg): 90.00 90.00 90.00
Space group P4/mmm (No. 123)
Symmetry-distinct sites (fractional):
Mn1 0.000 0.000 0.000
Te1 0.000 0.500 0.500
Rh1 0.500 0.500 0.000

[12]
Here is a geometry-optimized AcPa3Tl4S12 structure from the Alexandria database. Energies are from GGA-PBE.

Summary:
DFT total energy   -5.6624 eV/atom
Volume   1246.1 Å³/cell

a b c (Å): 10.761 10.761 10.761
angles (deg): 90.00 90.00 90.00
Space group Im-3m (No. 229)
Symmetry-distinct sites (fractional):
Ac1 0.000 0.000 0.000
Pa1 0.000 0.000 0.500
Tl1 0.250 0.250 0.250
S1 0.000 0.000 0.265
S2 0.000 0.250 0.500

[13]
Here is a geometry-optimized Al2TlGa structure from the Alexandria database. Energies are from GGA-PBE.

Summary:
DFT total energy   -2.9575 eV/atom
Volume   355.2 Å³/cell
Calculated formation energy   262 meV per atom

a b c (Å): 7.841 7.841 5.778
angles (deg): 90.00 90.00 90.00
Space group I-42d (No. 122)
Symmetry-distinct sites (fractional):
Al1 0.210 0.750 0.125
Tl1 0.000 0.000 0.500
Ga1 0.000 0.000 0.000

[14]
Here is a geometry-optimized HfTeAs2Br structure from the Alexandria database. Energies are from GGA-PBE.

Summary:
DFT total energy   -3.7961 eV/atom
Volume   147.0 Å³/cell

a b c (Å): 5.345 5.345 5.144
angles (deg): 90.00 90.00 90.00
Space group P4/mmm (No. 123)
Symmetry-distinct sites (fractional):
Hf1 0.000 0.000 0.000
Te1 0.500 0.500 0.500
As1 0.000 0.500 0.500
Br1 0.500 0.500 0.000

[15]
Here is a geometry-optimized LaTb2Pr6Mg structure from the Alexandria database. Energies are from GGA-PBE.

Summary:
DFT total energy   -4.3486 eV/atom
Volume   1379.6 Å³/cell
Calculated formation energy   97 meV per atom

a b c (Å): 10.484 13.900 9.643
angles (deg): 90.00 100.96 90.00
Space group C2/c (No. 15)
Symmetry-distinct sites (fractional):
La1 0.000 0.066 0.250
Tb1 0.236 0.033 0.594
Pr1 0.054 0.384 0.096
Pr2 0.093 0.173 0.924
Pr3 0.246 0.214 0.329
Mg1 0.000 0.401 0.750

[16]
Here is a geometry-optimized ReSbMo2 structure from the Alexandria database. Energies are from GGA-PBE.

Summary:
DFT total energy   -9.1822 eV/atom
Volume   68.2 Å³/cell

a b c (Å): 2.949 4.433 5.264
angles (deg): 90.00 97.73 90.00
Space group Pm (No. 6)
Symmetry-distinct sites (fractional):
Re1 0.000 0.000 0.000
Sb1 0.015 0.500 0.300
Mo1 0.362 0.500 0.807
Mo2 0.596 0.000 0.538

[17]
Here is a geometry-optimized K3Pu2TlO9 structure from the Alexandria database. Energies are from GGA-PBE.

Summary:
DFT total energy   -7.3176 eV/atom
Volume   237.7 Å³/cell

a b c (Å): 6.0580 6.0580 7.4800
angles (deg): 90.00 90.00 120.00
Space group P-3m1 (No. 164)
Symmetry-distinct sites (fractional):
K1 0.0000 0.0000 0.0000
K2 0.3333 0.6667 0.6577
Pu1 0.3333 0.6667 0.1635
Tl1 0.0000 0.0000 0.5000
O1 0.0000 0.5000 0.0000
O2 0.1758 0.3516 0.3171

[18]
Here is a geometry-optimized Sc2SeBr structure from the Alexandria database. Energies are from GGA-PBE.

Summary:
DFT total energy   -5.3244 eV/atom
Volume   453.1 Å³/cell

a b c (Å): 6.098 6.098 12.185
angles (deg): 90.00 90.00 90.00
Space group I-42d (No. 122)
Symmetry-distinct sites (fractional):
Sc1 0.234 0.250 0.125
Se1 0.000 0.000 0.000
Br1 0.000 0.000 0.500

[19]
Here is a geometry-optimized TaZn2Mo structure from the Alexandria database. Energies are from GGA-PBE.

Summary:
DFT total energy   -6.0983 eV/atom
Volume   193.0 Å³/cell
Calculated formation energy   210 meV per atom

a b c (Å): 2.8247 2.8247 27.9249
angles (deg): 90.00 90.00 120.00
Space group R-3m (No. 166, hexagonal axes)
Symmetry-distinct sites (fractional):
Ta1 0.0000 0.0000 0.0000
Zn1 0.0000 0.0000 0.2475
Mo1 0.0000 0.0000 0.5000